La2YCo: optimized geometry, PBE.

Calculated values
As for the offset from the most stable computed form: 1.709 eV/f.u.

a = 4.4478 Å, b = 4.4478 Å, c = 10.7604 Å
α = 90.00°, β = 90.00°, γ = 90.00°
With the nearest neighbours (Å) after each atom.
Sites, in units of the cell vectors:
La1 0.0000 0.0000 0.0000  4 Co 3.15, 4 La 3.49, 4 Y 3.49
La2 0.0000 0.5000 0.2500  4 Y 3.15, 4 La 3.49, 4 Co 3.49
La3 0.5000 0.0000 0.7500  4 Y 3.15, 4 La 3.49, 4 Co 3.49
La4 0.5000 0.5000 0.5000  4 Co 3.15, 4 La 3.49, 4 Y 3.49
Y1 0.0000 0.5000 0.7500  8 La 3.15-3.49, 4 Co 3.49
Y2 0.5000 0.0000 0.2500  8 La 3.15-3.49, 4 Co 3.49
Co1 0.0000 0.0000 0.5000  8 La 3.15-3.49, 4 Y 3.49
Co2 0.5000 0.5000 0.0000  8 La 3.15-3.49, 4 Y 3.49



CaIn2Pd2: optimized geometry, PBE.

Calculated values
The value obtained for the total energy is -4.13 eV/atom.

a = 7.7817 Å, b = 7.7817 Å, c = 3.4151 Å
α = 90.00°, β = 90.00°, γ = 90.00°
With the nearest neighbours (Å) after each atom.
Sites, in units of the cell vectors:
Ca1 0.0000 0.0000 0.0000  4 Pd 3.00
Ca2 0.5000 0.5000 0.0000  4 Pd 3.00
In1 0.1530 0.3470 0.5000  6 Pd 2.84-2.86
In2 0.3470 0.8470 0.5000  6 Pd 2.84-2.86
In3 0.6530 0.1530 0.5000  6 Pd 2.84-2.86
In4 0.8470 0.6530 0.5000  6 Pd 2.84-2.86
Pd1 0.1412 0.6412 0.0000  6 In 2.84-2.86, 2 Ca 3.00, 1 Pd 3.11
Pd2 0.3588 0.1412 0.0000  6 In 2.84-2.86, 2 Ca 3.00, 1 Pd 3.11
Pd3 0.6412 0.8588 0.0000  6 In 2.84-2.86, 2 Ca 3.00, 1 Pd 3.11
Pd4 0.8588 0.3588 0.0000  6 In 2.84-2.86, 2 Ca 3.00, 1 Pd 3.11



TiPt3Cl: optimized geometry, PBE.

Calculated values
As for the offset from the most stable computed form: 0.219 eV/f.u. The calculation puts the uncorrected formation energy at 0.807 eV/atom.

a = 4.5484 Å, b = 4.5484 Å, c = 4.5484 Å
α = 90.00°, β = 90.00°, γ = 90.00°
With the nearest neighbours (Å) after each atom.
Sites, in units of the cell vectors:
Ti1 0.0000 0.0000 0.0000  12 Pt 3.22
Pt1 0.0000 0.5000 0.5000  2 Cl 2.27
Pt2 0.5000 0.0000 0.5000  2 Cl 2.27
Pt3 0.5000 0.5000 0.0000  2 Cl 2.27
Cl1 0.5000 0.5000 0.5000  6 Pt 2.27



LiNbAg3: optimized geometry, PBE.

Calculated values
As for the offset from the most stable computed form: 2.438 eV/f.u.

a = 5.2224 Å, b = 5.2224 Å, c = 5.2224 Å
α = 90.00°, β = 90.00°, γ = 90.00°
With the nearest neighbours (Å) after each atom.
Sites, in units of the cell vectors:
Li1 0.0000 0.0000 0.0000  12 Ag 3.69
Nb1 0.5000 0.5000 0.5000  6 Ag 2.61
Ag1 0.0000 0.5000 0.5000  2 Nb 2.61
Ag2 0.5000 0.0000 0.5000  2 Nb 2.61
Ag3 0.5000 0.5000 0.0000  2 Nb 2.61



LaTaSeBr2: optimized geometry, PBE.

Calculated values
As for the offset from the most stable computed form: 2.541 eV/f.u. The calculation puts the uncorrected formation energy at 0.104 eV/atom.

a = 5.7458 Å, b = 5.7458 Å, c = 5.8757 Å
α = 90.00°, β = 90.00°, γ = 90.00°
With the nearest neighbours (Å) after each atom.
Sites, in units of the cell vectors:
La1 0.0000 0.0000 0.0000  4 Br 2.87, 2 Se 2.94
Ta1 0.5000 0.5000 0.5000  4 Se 4.06, 8 Br 4.11
Se1 0.0000 0.0000 0.5000  2 La 2.94
Br1 0.0000 0.5000 0.0000  2 La 2.87
Br2 0.5000 0.0000 0.0000  2 La 2.87



Dy12Re3H5: optimized geometry, PBE.

Calculated values
The value obtained for the total energy is -5.60 eV/atom.

a = 13.1123 Å, b = 13.1123 Å, c = 13.1123 Å
α = 109.47°, β = 109.47°, γ = 109.47°
With the nearest neighbours (Å) after each atom.
Sites, in units of the cell vectors:
Dy1 0.0292 0.2171 0.1235  1 H 2.21
Dy2 0.0292 0.3122 0.9057  1 H 2.21
Dy3 0.0943 0.6235 0.4064  1 H 2.21
Dy4 0.0936 0.7171 0.6878  1 H 2.21
Dy5 0.0936 0.8765 0.4057  1 H 2.21
Dy6 0.0943 0.9708 0.6878  1 H 2.21
Dy7 0.1235 0.0292 0.2171  1 H 2.21
Dy8 0.1235 0.5943 0.9064  1 H 2.21
Dy9 0.1878 0.2171 0.5936  1 H 2.21
Dy10 0.1878 0.4708 0.5943  1 H 2.21
Dy11 0.2171 0.1235 0.0292  1 H 2.21
Dy12 0.2171 0.5936 0.1878  1 H 2.21
Dy13 0.2829 0.3122 0.9064  1 H 2.21
Dy14 0.2829 0.4708 0.3765  1 H 2.21
Dy15 0.3122 0.9057 0.0292  1 H 2.21
Dy16 0.3122 0.9064 0.2829  1 H 2.21
Dy17 0.3765 0.2829 0.4708  1 H 2.21
Dy18 0.3765 0.5936 0.9057  1 H 2.21
Dy19 0.4064 0.0943 0.6235  1 H 2.21
Dy20 0.4057 0.0936 0.8765  1 H 2.21
Dy21 0.4057 0.8122 0.5292  1 H 2.21
Dy22 0.4064 0.8122 0.7829  1 H 2.21
Dy23 0.4708 0.3765 0.2829  1 H 2.21
Dy24 0.4708 0.5943 0.1878  1 H 2.21
Dy25 0.5292 0.4057 0.8122  1 H 2.21
Dy26 0.5292 0.6235 0.7171  1 H 2.21
Dy27 0.5936 0.1878 0.2171  1 H 2.21
Dy28 0.5943 0.1878 0.4708  1 H 2.21
Dy29 0.5943 0.9064 0.1235  1 H 2.21
Dy30 0.5936 0.9057 0.3765  1 H 2.21
Dy31 0.6235 0.4064 0.0943  1 H 2.21
Dy32 0.6235 0.7171 0.5292  1 H 2.21
Dy33 0.6878 0.0936 0.7171  1 H 2.21
Dy34 0.6878 0.0943 0.9708  1 H 2.21
Dy35 0.7171 0.5292 0.6235  1 H 2.21
Dy36 0.7171 0.6878 0.0936  1 H 2.21
Dy37 0.7829 0.4064 0.8122  1 H 2.21
Dy38 0.7829 0.8765 0.9708  1 H 2.21
Dy39 0.8122 0.5292 0.4057  1 H 2.21
Dy40 0.8122 0.7829 0.4064  1 H 2.21
Dy41 0.8765 0.4057 0.0936  1 H 2.21
Dy42 0.8765 0.9708 0.7829  1 H 2.21
Dy43 0.9057 0.0292 0.3122  1 H 2.21
Dy44 0.9064 0.1235 0.5943  1 H 2.21
Dy45 0.9064 0.2829 0.3122  1 H 2.21
Dy46 0.9057 0.3765 0.5936  1 H 2.21
Dy47 0.9708 0.6878 0.0943  1 H 2.21
Dy48 0.9708 0.7829 0.8765  1 H 2.21
Re1 0.1250 0.2500 0.3750  8 Dy 2.93
Re2 0.1250 0.3750 0.7500  8 Dy 2.93
Re3 0.2500 0.3750 0.1250  8 Dy 2.93
Re4 0.2500 0.8750 0.6250  8 Dy 2.93
Re5 0.3750 0.1250 0.2500  8 Dy 2.93
Re6 0.3750 0.7500 0.1250  8 Dy 2.93
Re7 0.6250 0.2500 0.8750  8 Dy 2.93
Re8 0.6250 0.8750 0.7500  8 Dy 2.93
Re9 0.7500 0.1250 0.3750  8 Dy 2.93
Re10 0.7500 0.6250 0.8750  8 Dy 2.93
Re11 0.8750 0.6250 0.2500  8 Dy 2.93
Re12 0.8750 0.7500 0.6250  8 Dy 2.93
H1 0.0000 0.0000 0.0000  6 Dy 2.58
H2 0.0000 0.0000 0.5000  6 Dy 2.58
H3 0.0000 0.5000 0.0000  6 Dy 2.58
H4 0.0000 0.5000 0.5000  6 Dy 2.58
H5 0.1250 0.7500 0.8750  4 Dy 2.21
H6 0.1250 0.8750 0.2500  4 Dy 2.21
H7 0.2500 0.1250 0.8750  4 Dy 2.21
H8 0.2500 0.6250 0.3750  4 Dy 2.21
H9 0.3750 0.2500 0.6250  4 Dy 2.21
H10 0.3750 0.6250 0.7500  4 Dy 2.21
H11 0.5000 0.0000 0.0000  6 Dy 2.58
H12 0.5000 0.0000 0.5000  6 Dy 2.58
H13 0.5000 0.5000 0.0000  6 Dy 2.58
H14 0.5000 0.5000 0.5000  6 Dy 2.58
H15 0.6250 0.3750 0.2500  4 Dy 2.21
H16 0.6250 0.7500 0.3750  4 Dy 2.21
H17 0.7500 0.3750 0.6250  4 Dy 2.21
H18 0.7500 0.8750 0.1250  4 Dy 2.21
H19 0.8750 0.1250 0.7500  4 Dy 2.21
H20 0.8750 0.2500 0.1250  4 Dy 2.21



Ho6Cd3Os: optimized geometry, PBE.

Calculated values
The value obtained for the total energy is -4.39 eV/atom.

a = 9.0816 Å, b = 5.2332 Å, c = 11.4064 Å
α = 90.00°, β = 108.71°, γ = 90.00°
With the nearest neighbours (Å) after each atom.
Sites, in units of the cell vectors:
Ho1 0.0321 0.2500 0.4143  7 Cd 3.05-3.40
Ho2 0.1906 0.7500 0.1644  1 Os 2.82, 2 Cd 3.13
Ho3 0.2819 0.2500 0.0036  3 Os 2.89-3.09, 1 Cd 3.14
Ho4 0.3504 0.7500 0.8330  3 Os 2.83-3.08
Ho5 0.3778 0.2500 0.3457  4 Cd 3.20-3.58, 6 Ho 3.36-3.47
Ho6 0.3885 0.2500 0.6486  1 Os 2.80, 1 Cd 3.13
Ho7 0.6115 0.7500 0.3514  1 Os 2.80, 1 Cd 3.13
Ho8 0.6222 0.7500 0.6543  4 Cd 3.20-3.58, 6 Ho 3.36-3.47
Ho9 0.6496 0.2500 0.1670  3 Os 2.83-3.08
Ho10 0.7181 0.7500 0.9964  3 Os 2.89-3.09, 1 Cd 3.14
Ho11 0.8094 0.2500 0.8356  1 Os 2.82, 2 Cd 3.13
Ho12 0.9679 0.7500 0.5857  7 Cd 3.05-3.40
Cd1 0.0085 0.7500 0.8690  6 Ho 3.13-3.40, 2 Cd 3.30
Cd2 0.0844 0.2500 0.7211  6 Ho 3.05-3.38, 3 Cd 3.27-3.30
Cd3 0.2710 0.7500 0.4722  9 Ho 3.20-3.40, 1 Cd 3.27
Cd4 0.7290 0.2500 0.5278  9 Ho 3.20-3.40, 1 Cd 3.27
Cd5 0.9156 0.7500 0.2789  6 Ho 3.05-3.38, 3 Cd 3.27-3.30
Cd6 0.9915 0.2500 0.1310  6 Ho 3.13-3.40, 2 Cd 3.30
Os1 0.4626 0.7500 0.0954  8 Ho 2.80-3.09
Os2 0.5374 0.2500 0.9046  8 Ho 2.80-3.09



Tb3Dy4Ho4: optimized geometry, PBE.

Calculated values
As for the offset from the most stable computed form: 1.343 eV/f.u.

a = 10.7907 Å, b = 10.7907 Å, c = 10.7907 Å
α = 161.25°, β = 117.86°, γ = 65.53°
With the nearest neighbours (Å) after each atom.
Sites, in units of the cell vectors:
Tb1 0.0000 0.0000 0.0000  2 Tb 3.51, 4 Dy 3.69
Tb2 0.3922 0.8922 0.5000  6 Dy 3.51-3.57, 3 Tb 3.51-3.91, 4 Ho 3.56
Tb3 0.6078 0.1078 0.5000  6 Dy 3.51-3.57, 3 Tb 3.51-3.91, 4 Ho 3.56
Dy1 0.2210 0.2210 0.0000  6 Ho 3.34-3.49, 2 Dy 3.51, 2 Tb 3.57
Dy2 0.2917 0.5000 0.7917  2 Ho 3.14, 4 Tb 3.51, 2 Dy 3.51
Dy3 0.7083 0.5000 0.2083  2 Ho 3.14, 4 Tb 3.51, 2 Dy 3.51
Dy4 0.7790 0.7790 0.0000  6 Ho 3.34-3.49, 2 Dy 3.51, 2 Tb 3.57
Ho1 0.0707 0.3295 0.7412  4 Dy 3.14-3.49, 4 Ho 3.38-3.51
Ho2 0.4117 0.6705 0.7412  4 Dy 3.14-3.49, 4 Ho 3.38-3.51
Ho3 0.5883 0.3295 0.2588  4 Dy 3.14-3.49, 4 Ho 3.38-3.51
Ho4 0.9292 0.6705 0.2588  4 Dy 3.14-3.49, 4 Ho 3.38-3.51



HoScFeRu: optimized geometry, PBE.

Calculated values
The value obtained for the total energy is -7.33 eV/atom.

a = 6.5641 Å, b = 6.5641 Å, c = 6.5641 Å
α = 90.00°, β = 90.00°, γ = 90.00°
With the nearest neighbours (Å) after each atom.
Sites, in units of the cell vectors:
Ho1 0.0000 0.0000 0.0000  4 Fe 2.84, 4 Ru 2.84
Ho2 0.0000 0.5000 0.5000  4 Fe 2.84, 4 Ru 2.84
Ho3 0.5000 0.0000 0.5000  4 Fe 2.84, 4 Ru 2.84
Ho4 0.5000 0.5000 0.0000  4 Fe 2.84, 4 Ru 2.84
Sc1 0.0000 0.0000 0.5000  4 Ru 2.84, 4 Fe 2.84
Sc2 0.0000 0.5000 0.0000  4 Ru 2.84, 4 Fe 2.84
Sc3 0.5000 0.0000 0.0000  4 Ru 2.84, 4 Fe 2.84
Sc4 0.5000 0.5000 0.5000  4 Ru 2.84, 4 Fe 2.84
Fe1 0.2500 0.2500 0.2500  4 Sc 2.84, 4 Ho 2.84
Fe2 0.2500 0.7500 0.7500  4 Ho 2.84, 4 Sc 2.84
Fe3 0.7500 0.2500 0.7500  4 Ho 2.84, 4 Sc 2.84
Fe4 0.7500 0.7500 0.2500  4 Ho 2.84, 4 Sc 2.84
Ru1 0.2500 0.2500 0.7500  4 Ho 2.84, 4 Sc 2.84
Ru2 0.2500 0.7500 0.2500  4 Ho 2.84, 4 Sc 2.84
Ru3 0.7500 0.2500 0.2500  4 Ho 2.84, 4 Sc 2.84
Ru4 0.7500 0.7500 0.7500  4 Ho 2.84, 4 Sc 2.84



NaLaIn4Se8: optimized geometry, PBE.

Calculated values
The calculation puts the uncorrected formation energy at -0.797 eV/atom.

a = 8.4761 Å, b = 8.4761 Å, c = 8.4761 Å
α = 58.26°, β = 58.26°, γ = 58.26°
With the nearest neighbours (Å) after each atom.
Sites, in units of the cell vectors:
Na1 0.0000 0.0000 0.0000  4 Se 2.74-2.75
La1 0.6449 0.6449 0.6449  6 Se 2.94-3.07
In1 0.1144 0.6386 0.6386  6 Se 2.72-2.93
In2 0.2538 0.2538 0.2538  4 Se 2.67-2.95
In3 0.6386 0.1144 0.6386  6 Se 2.72-2.93
In4 0.6386 0.6386 0.1144  6 Se 2.72-2.93
Se1 0.3880 0.3880 0.8594  3 In 2.67-2.93
Se2 0.3880 0.8594 0.3880  3 In 2.67-2.93
Se3 0.3943 0.3943 0.3943  4 In 2.89-2.95
Se4 0.4007 0.8932 0.8932  2 In 2.72, 1 Na 2.75, 1 La 2.94
Se5 0.8594 0.3880 0.3880  3 In 2.67-2.93
Se6 0.8698 0.8698 0.8698  3 In 2.73, 1 Na 2.74
Se7 0.8932 0.4007 0.8932  2 In 2.72, 1 Na 2.75, 1 La 2.94
Se8 0.8932 0.8932 0.4007  2 In 2.72, 1 Na 2.75, 1 La 2.94



Pa2AlZn3: optimized geometry, PBE.

Calculated values
The value obtained for the total energy is -4.57 eV/atom.

a = 5.6393 Å, b = 5.6393 Å, c = 8.3029 Å
α = 90.00°, β = 90.00°, γ = 120.00°
With the nearest neighbours (Å) after each atom.
Sites, in units of the cell vectors:
Pa1 0.3333 0.6667 0.0851  1 Pa 2.74
Pa2 0.3333 0.6667 0.4149  1 Pa 2.74
Pa3 0.6667 0.3333 0.5851  1 Pa 2.74
Pa4 0.6667 0.3333 0.9149  1 Pa 2.74
Al1 0.0000 0.0000 0.0000  6 Zn 2.69
Al2 0.0000 0.0000 0.5000  6 Zn 2.69
Zn1 0.1749 0.3499 0.7500  4 Zn 2.68-2.96, 2 Al 2.69
Zn2 0.1749 0.8251 0.7500  4 Zn 2.68-2.96, 2 Al 2.69
Zn3 0.3499 0.1749 0.2500  4 Zn 2.68-2.96, 2 Al 2.69
Zn4 0.6501 0.8251 0.7500  4 Zn 2.68-2.96, 2 Al 2.69
Zn5 0.8251 0.1749 0.2500  4 Zn 2.68-2.96, 2 Al 2.69
Zn6 0.8251 0.6501 0.2500  4 Zn 2.68-2.96, 2 Al 2.69



no.,size of the total moment (μB/f.u.),N(E_F) (states/eV per cell)
1,0.4,10.87
2,0.0,2.61
3,1.5,5.13
4,0.0,4.57
5,4.0,4.48
6,0.0,51.78
7,0.0,13.51
8,0.0,14.84
9,1.3,25.98
10,0.0,12.13
11,0.2,14.80